Record 1
Density functional theory data (SCAN) for a PBEsol-optimized structure of Be2CdTe.

Lattice parameters (Å, degrees): 4.395 4.395 3.565 90.00 90.00 90.00
Fractional positions:
Be 0.000 0.500 0.000
Be 0.500 0.000 0.000
Cd 0.000 0.000 0.500
Te 0.500 0.500 0.500

Properties
- E above lowest polymorph (eV per atom) = 0.2932
- SG = P4/mmm (123)
- E (eV/atom) = -18.40
- energy relative to the elements, uncorrected (kcal/mol of atoms) = 16.0


Record 2
Density functional theory data (SCAN) for a PBEsol-optimized structure of TaTe2As.

Lattice parameters (Å, degrees): 4.895 4.895 4.895 60.00 60.00 60.00
Fractional positions:
Ta 0.000 0.000 0.000
Te 0.250 0.250 0.250
Te 0.500 0.500 0.500
As 0.750 0.750 0.750

Properties
- SG = F-43m (216)
- E (eV/atom) = -39.77
- energy relative to the elements, uncorrected (kcal/mol of atoms) = 12.6


Record 3
Density functional theory data (SCAN) for a PBEsol-optimized structure of ZnCd3.

Lattice parameters (Å, degrees): 4.262 4.262 4.262 90.00 90.00 90.00
Fractional positions:
Zn 0.000 0.000 0.000
Cd 0.000 0.500 0.500
Cd 0.500 0.000 0.500
Cd 0.500 0.500 0.000

Properties
- SG = Pm-3m (221)
- E (eV/atom) = -26.10
- calculated formation energy (eV/atom) = 0.088


Record 4
Density functional theory data (SCAN) for a PBEsol-optimized structure of RhCl3.

Lattice parameters (Å, degrees): 5.946 5.946 6.067 98.75 98.75 120.00
Fractional positions:
Rh 0.167 0.833 0.000
Rh 0.833 0.167 0.000
Cl 0.079 0.431 0.777
Cl 0.218 0.218 0.224
Cl 0.431 0.079 0.777
Cl 0.569 0.921 0.223
Cl 0.782 0.782 0.776
Cl 0.921 0.569 0.223

Properties
- SG = C2/m (12)
- E (eV/atom) = -15.25
- energy relative to the elements, uncorrected (kcal/mol of atoms) = -19.0


Record 5
Density functional theory data (SCAN) for a PBEsol-optimized structure of CaAl2Ir.

Lattice parameters (Å, degrees): 5.814 5.814 5.814 43.27 43.27 43.27
Fractional positions:
Ca 0.000 0.000 0.000
Al 0.194 0.194 0.194
Al 0.465 0.465 0.465
Ir 0.815 0.815 0.815

Properties
- SG = R3m (160)
- E (eV/atom) = -24.83
- calculated formation energy (eV/atom) = -0.763


Record 6
Density functional theory data (SCAN) for a PBEsol-optimized structure of Sc2RuCl.

Lattice parameters (Å, degrees): 3.181 3.181 7.790 101.29 101.29 83.15
Fractional positions:
Sc 0.088 0.088 0.207
Sc 0.912 0.912 0.793
Ru 0.500 0.500 0.000
Cl 0.500 0.500 0.500

Properties
- E above lowest polymorph (eV per atom) = 0.0584
- SG = C2/m (12)
- E (eV/atom) = -18.92
- energy relative to the elements, uncorrected (kcal/mol of atoms) = -25.3